# PmYAsS, relaxed, DFT PBE
data_PmYAsS
_chemical_formula_sum 'Pm3 Y3 As3 S3'
_space_group_name_H-M_alt 'R 3 m'
_space_group_IT_number 160
_space_group_name_Hall 'R 3 -2"'
_cell_length_a 4.0929
_cell_length_b 4.0929
_cell_length_c 19.9420
_cell_angle_alpha 90.00
_cell_angle_beta 90.00
_cell_angle_gamma 120.00
loop_
_atom_site_label
_atom_site_type_symbol
_atom_site_fract_x
_atom_site_fract_y
_atom_site_fract_z
Pm1 Pm 0.0000 0.0000 0.0000
Y1 Y 0.0000 0.0000 0.5011
As1 As 0.0000 0.0000 0.7532
S1 S 0.0000 0.0000 0.2477
# formation energy from raw total energies = -1.804 eV/atom

***

# YSc2Re, relaxed, DFT PBE
data_YSc2Re
_chemical_formula_sum 'Y3 Sc6 Re3'
_space_group_name_H-M_alt 'R -3 m'
_space_group_IT_number 166
_space_group_name_Hall '-R 3 2"'
_cell_length_a 3.2701
_cell_length_b 3.2701
_cell_length_c 29.6466
_cell_angle_alpha 90.00
_cell_angle_beta 90.00
_cell_angle_gamma 120.00
loop_
_atom_site_label
_atom_site_type_symbol
_atom_site_fract_x
_atom_site_fract_y
_atom_site_fract_z
Y1 Y 0.0000 0.0000 0.0000
Sc1 Sc 0.0000 0.0000 0.2327
Re1 Re 0.0000 0.0000 0.5000
# offset from the most stable computed form = 160 meV per atom
# formation energy from the elements = 173 meV/atom

***

# Zn6GaAg8, relaxed, DFT PBE
data_Zn6GaAg8
_chemical_formula_sum 'Zn18 Ga3 Ag24'
_space_group_name_H-M_alt 'R -3'
_space_group_IT_number 148
_space_group_name_Hall '-R 3'
_cell_length_a 7.6167
_cell_length_b 7.6167
_cell_length_c 16.2401
_cell_angle_alpha 90.00
_cell_angle_beta 90.00
_cell_angle_gamma 120.00
loop_
_atom_site_label
_atom_site_type_symbol
_atom_site_fract_x
_atom_site_fract_y
_atom_site_fract_z
Zn1 Zn 0.0029 0.6741 0.0521
Ga1 Ga 0.0000 0.0000 0.0000
Ag1 Ag 0.0000 0.0000 0.3309
Ag2 Ag 0.0033 0.6592 0.8824
# offset from the most stable computed form = 12 meV per atom
# formation energy from the elements = 62 meV/atom

***

# NaLuTi2O6, relaxed, DFT PBE
data_NaLuTi2O6
_chemical_formula_sum 'Na2 Lu2 Ti4 O12'
_space_group_name_H-M_alt 'P m n 21'
_space_group_IT_number 31
_cell_length_a 7.571
_cell_length_b 5.518
_cell_length_c 5.283
_cell_angle_alpha 90.00
_cell_angle_beta 90.00
_cell_angle_gamma 90.00
loop_
_space_group_symop_operation_xyz
'x,y,z'
'-x+1/2,-y,z+1/2'
'-x,y,z'
'x+1/2,-y,z+1/2'
loop_
_atom_site_label
_atom_site_type_symbol
_atom_site_fract_x
_atom_site_fract_y
_atom_site_fract_z
Na1 Na 0.000 0.215 0.000
Lu1 Lu 0.000 0.674 0.525
Ti1 Ti 0.247 0.234 0.518
O1 O 0.000 0.281 0.423
O2 O 0.000 0.778 0.120
O3 O 0.192 0.939 0.689
O4 O 0.205 0.464 0.782
# formation energy from raw total energies = -3.033 eV/atom

***

# LiTbSmTm, relaxed, DFT PBE
data_LiTbSmTm
_chemical_formula_sum 'Li4 Tb4 Sm4 Tm4'
_space_group_name_H-M_alt 'F -4 3 m'
_space_group_IT_number 216
_space_group_name_Hall 'F -4 2 3'
_cell_length_a 7.759
_cell_length_b 7.759
_cell_length_c 7.759
_cell_angle_alpha 90.00
_cell_angle_beta 90.00
_cell_angle_gamma 90.00
loop_
_atom_site_label
_atom_site_type_symbol
_atom_site_fract_x
_atom_site_fract_y
_atom_site_fract_z
Li1 Li 0.000 0.000 0.000
Tb1 Tb 0.250 0.250 0.750
Sm1 Sm 0.250 0.250 0.250
Tm1 Tm 0.000 0.000 0.500
# formation energy from the elements = 160 meV/atom

***

# KV2Cr, relaxed, DFT PBE
data_KV2Cr
_chemical_formula_sum 'K4 V8 Cr4'
_space_group_name_H-M_alt 'F m -3 m'
_space_group_IT_number 225
_space_group_name_Hall '-F 4 2 3'
_cell_length_a 6.770
_cell_length_b 6.770
_cell_length_c 6.770
_cell_angle_alpha 90.00
_cell_angle_beta 90.00
_cell_angle_gamma 90.00
loop_
_atom_site_label
_atom_site_type_symbol
_atom_site_fract_x
_atom_site_fract_y
_atom_site_fract_z
K1 K 0.000 0.000 0.000
V1 V 0.250 0.250 0.250
Cr1 Cr 0.000 0.000 0.500
# offset from the most stable computed form = 0 meV per atom
# formation energy from the elements = 1475 meV/atom

***

What did the third record say?
# Zn6GaAg8, relaxed, DFT PBE
data_Zn6GaAg8
_chemical_formula_sum 'Zn18 Ga3 Ag24'
_space_group_name_H-M_alt 'R -3'
_space_group_IT_number 148
_space_group_name_Hall '-R 3'
_cell_length_a 7.6167
_cell_length_b 7.6167
_cell_length_c 16.2401
_cell_angle_alpha 90.00
_cell_angle_beta 90.00
_cell_angle_gamma 120.00
loop_
_atom_site_label
_atom_site_type_symbol
_atom_site_fract_x
_atom_site_fract_y
_atom_site_fract_z
Zn1 Zn 0.0029 0.6741 0.0521
Ga1 Ga 0.0000 0.0000 0.0000
Ag1 Ag 0.0000 0.0000 0.3309
Ag2 Ag 0.0033 0.6592 0.8824
# offset from the most stable computed form = 12 meV per atom
# formation energy from the elements = 62 meV/atom